[1]
An optimized crystal structure of MgTiOs2N. Source: Alexandria via LeMat-Bulk, functional PBE.

Cell lengths 4.679, 3.576, 4.679 Å; angles 90.00, 90.00, 90.00 degrees
Fractional positions:
N: 0.000 0.500 0.000
Mg: 0.000 0.000 0.000
Os: 0.000 0.000 0.500
Ti: 0.500 0.500 0.500
Os: 0.500 0.000 0.000

Results
V in Å³ per cell: 78.3
Uncorrected formation energy in eV per atom: 1.803

[2]
An optimized crystal structure of Pm15Pr4Tm. Source: Alexandria via LeMat-Bulk, functional PBE.

Cell lengths 5.172, 5.172, 25.818 Å; angles 90.00, 90.00, 90.00 degrees
Fractional positions:
Pr: 0.000 0.000 0.198
Pm: 0.000 0.500 0.701
Pm: 0.500 0.000 0.902
Pm: 0.500 0.000 0.299
Pm: 0.500 0.000 0.098
Pm: 0.500 0.500 0.802
Pm: 0.000 0.500 0.500
Pm: 0.500 0.500 0.198
Pm: 0.000 0.500 0.098
Pm: 0.500 0.500 0.600
Pm: 0.500 0.500 0.000
Pm: 0.000 0.500 0.299
Pr: 0.000 0.000 0.601
Pm: 0.500 0.000 0.701
Pm: 0.000 0.500 0.902
Pm: 0.500 0.000 0.500
Pr: 0.000 0.000 0.399
Pm: 0.500 0.500 0.400
Pr: 0.000 0.000 0.802
Tm: 0.000 0.000 0.000

Results
V in Å³ per cell: 690.5
Formation energy from the elements in eV per atom: 0.0155

[3]
An optimized crystal structure of SmTm2V. Source: Alexandria via LeMat-Bulk, functional PBE.

Cell lengths 3.351, 3.351, 11.566 Å; angles 81.67, 81.67, 60.00 degrees
Each line ends with the local moment (μB).
Fractional positions:
Sm: 0.500 0.500 0.500  -0.01
Tm: 0.081 0.081 0.756  0.05
V: 0.000 0.000 0.000  2.57
Tm: 0.919 0.919 0.244  0.05

Results
V in Å³ per cell: 110.9
Formation energy from the elements in eV per atom: 0.6037
Energy relative to the lowest polymorph listed for this composition in meV/atom: 416